No. 1
Below is a relaxed structure of TbPaIrSe, with properties calculated at the GGA-PBE level.

a b c (Å): 3.9715 3.9715 21.8257
angles (deg): 90.00 90.00 120.00
Space group R3m (No. 160, hexagonal axes)
Asymmetric unit:
Tb1 0.0000 0.0000 0.0000 (multiplicity 3)
Pa1 0.0000 0.0000 0.1857 (multiplicity 3)
Ir1 0.0000 0.0000 0.5860 (multiplicity 3)
Se1 0.0000 0.0000 0.7598 (multiplicity 3)

Output
Its volume is 24.8 A^3/atom. For the raw formation energy, the calculation gives -1.122 eV/atom. For the total magnetic moment, the calculation gives 0.00 μB per formula unit. The value obtained for the density of states at the Fermi level is 13.30 states/eV/cell. The raw total energy comes out at -7.740 eV/atom.

---

No. 2
Below is a relaxed structure of Pa4Te2IrSe, with properties calculated at the GGA-PBE level.

a b c (Å): 7.310 4.030 7.551
angles (deg): 90.00 107.79 90.00
Space group P2/m (No. 10)
Asymmetric unit:
Pa1 0.227 0.000 0.207 (multiplicity 2)
Pa2 0.256 0.500 0.782 (multiplicity 2)
Te1 0.000 0.000 0.500 (multiplicity 1)
Te2 0.500 0.500 0.500 (multiplicity 1)
Ir1 0.000 0.500 0.000 (multiplicity 1)
Se1 0.500 0.000 0.000 (multiplicity 1)

Output
Its volume is 26.5 A^3/atom. For the raw formation energy, the calculation gives -0.861 eV/atom. For the total magnetic moment, the calculation gives 0.01 μB per formula unit. The value obtained for the density of states at the Fermi level is 14.35 states/eV/cell. The raw total energy comes out at -7.938 eV/atom.

---

No. 3
Below is a relaxed structure of ThPaIrSe, with properties calculated at the GGA-PBE level.

a b c (Å): 4.0036 4.0036 22.3355
angles (deg): 90.00 90.00 120.00
Space group R3m (No. 160, hexagonal axes)
Asymmetric unit:
Th1 0.0000 0.0000 0.0000 (multiplicity 3)
Pa1 0.0000 0.0000 0.1867 (multiplicity 3)
Ir1 0.0000 0.0000 0.5873 (multiplicity 3)
Se1 0.0000 0.0000 0.7632 (multiplicity 3)

Output
Its volume is 25.8 A^3/atom. For the raw formation energy, the calculation gives -1.083 eV/atom. For the total magnetic moment, the calculation gives 0.00 μB per formula unit. The value obtained for the density of states at the Fermi level is 11.83 states/eV/cell. The raw total energy comes out at -8.398 eV/atom.

---

No. 4
Below is a relaxed structure of YPaIrSe, with properties calculated at the GGA-PBE level.

a b c (Å): 3.9687 3.9687 21.7899
angles (deg): 90.00 90.00 120.00
Space group R3m (No. 160, hexagonal axes)
Asymmetric unit:
Y1 0.0000 0.0000 0.0000 (multiplicity 3)
Pa1 0.0000 0.0000 0.1852 (multiplicity 3)
Ir1 0.0000 0.0000 0.5854 (multiplicity 3)
Se1 0.0000 0.0000 0.7588 (multiplicity 3)

Output
Its volume is 24.8 A^3/atom. For the raw formation energy, the calculation gives -1.117 eV/atom. For the total magnetic moment, the calculation gives 0.00 μB per formula unit. The value obtained for the density of states at the Fermi level is 13.37 states/eV/cell. The raw total energy comes out at -8.193 eV/atom.

---

No. 5
Below is a relaxed structure of Pa3Si4Ir4, with properties calculated at the GGA-PBE level.

a b c (Å): 3.917 4.159 24.409
angles (deg): 90.00 90.00 90.00
Space group Immm (No. 71)
Asymmetric unit:
Pa1 0.000 0.000 0.000 (multiplicity 2)
Pa2 0.000 0.500 0.146 (multiplicity 4)
Si1 0.000 0.000 0.452 (multiplicity 4)
Si2 0.000 0.500 0.305 (multiplicity 4)
Ir1 0.000 0.000 0.251 (multiplicity 4)
Ir2 0.000 0.500 0.404 (multiplicity 4)

Output
Its volume is 18.1 A^3/atom. For the raw formation energy, the calculation gives -0.987 eV/atom. For the total magnetic moment, the calculation gives 0.00 μB per formula unit. The value obtained for the density of states at the Fermi level is 11.97 states/eV/cell. The raw total energy comes out at -8.771 eV/atom.

---

No. 6
Below is a relaxed structure of PaSiIr3, with properties calculated at the GGA-PBE level.

a b c (Å): 7.021 11.978 4.761
angles (deg): 90.00 90.00 90.00
Space group Cmcm (No. 63)
Asymmetric unit:
Pa1 0.000 0.074 0.250 (multiplicity 4)
Si1 0.000 0.309 0.250 (multiplicity 4)
Ir1 0.000 0.500 0.000 (multiplicity 4)
Ir2 0.188 0.143 0.750 (multiplicity 8)

Output
Its volume is 20.0 A^3/atom. For the raw formation energy, the calculation gives 0.054 eV/atom. For the total magnetic moment, the calculation gives 0.00 μB per formula unit. The value obtained for the density of states at the Fermi level is 17.45 states/eV/cell. The raw total energy comes out at -8.246 eV/atom.

---

No. 7
Below is a relaxed structure of Pa3Si4Ir2, with properties calculated at the GGA-PBE level.

a b c (Å): 10.597 4.155 8.057
angles (deg): 90.00 103.37 90.00
Space group C2/m (No. 12)
Asymmetric unit:
Pa1 0.000 0.000 0.000 (multiplicity 2)
Pa2 0.169 0.500 0.665 (multiplicity 4)
Si1 0.046 0.000 0.382 (multiplicity 4)
Si2 0.224 0.500 0.056 (multiplicity 4)
Ir1 0.115 0.500 0.287 (multiplicity 4)

Output
Its volume is 19.2 A^3/atom. For the raw formation energy, the calculation gives -0.840 eV/atom. For the total magnetic moment, the calculation gives 0.00 μB per formula unit. The value obtained for the density of states at the Fermi level is 16.14 states/eV/cell. The raw total energy comes out at -8.385 eV/atom. The value obtained for the energy above the most stable polymorph in this dataset is 0.000 eV/atom.

---

No. 8
Below is a relaxed structure of PaSi2Ir5, with properties calculated at the GGA-PBE level.

a b c (Å): 3.875 6.894 9.581
angles (deg): 90.00 90.00 90.00
Space group Immm (No. 71)
Asymmetric unit:
Pa1 0.000 0.000 0.000 (multiplicity 2)
Si1 0.000 0.500 0.245 (multiplicity 4)
Ir1 0.000 0.204 0.357 (multiplicity 8)
Ir2 0.000 0.500 0.000 (multiplicity 2)

Output
Its volume is 16.0 A^3/atom. For the raw formation energy, the calculation gives -0.739 eV/atom. For the total magnetic moment, the calculation gives 0.00 μB per formula unit. The value obtained for the density of states at the Fermi level is 10.03 states/eV/cell. The raw total energy comes out at -8.820 eV/atom.